# 1
## Ac2CeSm3Se6 (PBE)

Data for crystalline Ac2CeSm3Se6 at its relaxed geometry.

The structure belongs to space group C2/m (No. 12); the cell edges are 18.697, 4.245 and 8.639 Å and the angles 90.00°, 103.95° and 90.00°. The distinct sites, in fractional coordinates, are Ac at (0.165, 0.000, 0.331), Ce at (0.000, 0.500, 0.000), Sm at (0.000, 0.500, 0.500), Sm at (0.168, 0.000, 0.837), Se at (0.006, 0.000, 0.750), Se at (0.163, 0.500, 0.595) and Se at (0.167, 0.500, 0.071).

The density of states at the Fermi level comes out at 0.94 states/eV/atom. The formation energy from raw total energies comes out at -1.82 eV per atom.

# 2
## Ac4Ce3SmSe8 (PBE)

Data for crystalline Ac4Ce3SmSe8 at its relaxed geometry.

The structure belongs to space group R-3m (No. 166, hexagonal axes); the cell edges are 8.6379, 8.6379 and 21.3834 Å and the angles 90.00°, 90.00° and 120.00°. The distinct sites, in fractional coordinates, are Ac at (0.0000, 0.0000, 0.0000), Ac at (0.0000, 0.5000, 0.0000), Ce at (0.0000, 0.5000, 0.5000), Sm at (0.0000, 0.0000, 0.5000), Se at (0.0000, 0.0000, 0.2444) and Se at (0.0014, 0.5007, 0.2440).

The density of states at the Fermi level comes out at 1.38 states/eV/atom. The formation energy from raw total energies comes out at -1.83 eV per atom.

# 3
## AcCeSmSe3 (PBE)

Data for crystalline AcCeSmSe3 at its relaxed geometry.

The structure belongs to space group P2_1/m (No. 11); the cell edges are 7.457, 4.188 and 11.125 Å and the angles 90.00°, 102.86° and 90.00°. The distinct sites, in fractional coordinates, are Ac at (0.153, 0.250, 0.199), Ce at (0.380, 0.250, 0.868), Sm at (0.264, 0.750, 0.557), Se at (0.050, 0.250, 0.658), Se at (0.222, 0.750, 0.001) and Se at (0.450, 0.750, 0.348).

The density of states at the Fermi level comes out at 1.33 states/eV/atom. The formation energy from raw total energies comes out at -1.75 eV per atom.

# 4
## Ac4CeSm3Se8 (PBE)

Data for crystalline Ac4CeSm3Se8 at its relaxed geometry.

The structure belongs to space group R-3m (No. 166, hexagonal axes); the cell edges are 8.6049, 8.6049 and 21.3899 Å and the angles 90.00°, 90.00° and 120.00°. The distinct sites, in fractional coordinates, are Ac at (0.0000, 0.0000, 0.0000), Ac at (0.0000, 0.5000, 0.0000), Ce at (0.0000, 0.0000, 0.5000), Sm at (0.0000, 0.5000, 0.5000), Se at (0.0000, 0.0000, 0.2434) and Se at (0.0014, 0.5007, 0.7565).

The density of states at the Fermi level comes out at 0.81 states/eV/atom. The formation energy from raw total energies comes out at -1.83 eV per atom.